*A*
The following is a PBE calculation of an optimized crystal structure of Tl2CoTe, from Alexandria.

Unit cell a=3.270 b=3.270 c=9.081 alpha=90.00 beta=90.00 gamma=90.00
Space group P4/mmm (No. 123)
Unique sites:
Tl1 0.000 0.000 0.180
Co1 0.500 0.500 0.000
Te1 0.500 0.500 0.500

## Properties
Calculated volume in Å³ per atom: 24.3

---

*B*
The following is a PBE calculation of an optimized crystal structure of Tl2CoTe, from Alexandria.

Unit cell a=5.483 b=5.483 c=16.531 alpha=90.00 beta=90.00 gamma=90.00
Space group I-42d (No. 122)
Unique sites:
Tl1 0.156 0.250 0.125
Co1 0.000 0.000 0.000
Te1 0.000 0.000 0.500

## Properties
Calculated volume in Å³ per atom: 31.1

---

Most stable of them? *A*.

---

*A*
The following is a PBE calculation of an optimized crystal structure of TlCo3Te, from Alexandria.

Unit cell a=4.800 b=4.800 c=4.800 alpha=90.00 beta=90.00 gamma=90.00
Space group Pm-3m (No. 221)
Unique sites:
Tl1 0.000 0.000 0.000
Co1 0.000 0.000 0.500
Te1 0.500 0.500 0.500

## Properties
Calculated volume in Å³ per atom: 22.1

---

*B*
The following is a PBE calculation of an optimized crystal structure of TlCo3Te, from Alexandria.

Unit cell a=4.720 b=4.720 c=4.720 alpha=90.00 beta=90.00 gamma=90.00
Space group Pm-3m (No. 221)
Unique sites:
Tl1 0.000 0.000 0.000
Co1 0.000 0.500 0.500
Te1 0.500 0.500 0.500

## Properties
Calculated volume in Å³ per atom: 21.0

---

Most stable of them? *B*.